VASP calculation (PBE) on a geometry-optimized Y2Ga4Cu3Ir structure.

The value obtained for the total moment is 0.0 μB per formula unit. The calculated total energy is -51.2 eV per formula unit. As for the calculated formation energy: -0.504 eV per atom.

It has space group P-4m2 (No. 115), with a = 4.0525 Å, b = 4.0525 Å, c = 10.5826 Å, α = 90.00°, β = 90.00° and γ = 90.00°. Symmetry generates all atoms from Y at (0.0000, 0.5000, 0.2487), Ga at (0.0000, 0.0000, 0.0000), Ga at (0.0000, 0.5000, 0.6372), Ga at (0.5000, 0.5000, 0.0000), Cu at (0.0000, 0.5000, 0.8636), Cu at (0.5000, 0.5000, 0.5000) and Ir at (0.0000, 0.0000, 0.5000).